(1)
A relaxed structure of SrAcCd4, computed with PBE.

The energy above the most stable polymorph in this dataset is 0.022 eV/atom. Its spin magnetization is 0.00 μB/f.u. As for the space-group type: I-4m2 (119). Its density of states at the Fermi level is 0.814 states/eV per atom. The value obtained for the formation enthalpy at 0 K is -0.2709 eV per atom.

```
6
Lattice="4.466 0.000 -1.379 -0.426 4.445 -1.379 0.445 0.489 9.361" Properties=species:S:1:pos:R:3 pbc="T T T"
Sr 1.019 3.579 3.301
Ac 0.000 0.000 0.000
Cd 3.066 0.917 2.008
Cd 2.421 2.664 -0.079
Cd 3.864 1.795 4.594
Cd 2.063 2.270 6.682
```

(2)
A relaxed structure of CoTcAg2, computed with PBE.

The energy above the most stable polymorph in this dataset is 0.390 eV/atom. Its spin magnetization is 3.59 μB/f.u. As for the space-group type: I4/mmm (139). Its density of states at the Fermi level is 1.201 states/eV per atom. The value obtained for the formation enthalpy at 0 K is 0.6536 eV per atom.

```
4
Lattice="-3.793 0.676 -3.305 -3.483 -3.688 -0.204 2.208 2.751 3.651" Properties=species:S:1:pos:R:3 pbc="T T T"
Ag 0.000 0.000 0.000
Ag -3.638 -1.506 -1.754
Co -2.456 -1.221 0.846
Tc -2.612 0.961 -0.705
```

(3)
A relaxed structure of Ti2FeGe2, computed with PBE.

Its spin magnetization is 0.00 μB/f.u. As for the space-group type: P2_1/c (14). Its density of states at the Fermi level is 0.496 states/eV per atom. The value obtained for the formation enthalpy at 0 K is -0.4584 eV per atom.

```
20
Lattice="-3.269 2.301 -4.680 3.544 -3.475 -4.184 -4.978 -5.993 0.761" Properties=species:S:1:pos:R:3 pbc="T T T"
Ti -1.838 -0.284 -2.915
Ti 0.447 -2.072 -1.342
Ti -5.150 -5.095 -6.762
Ti -2.865 -6.883 -5.189
Ti 0.452 -4.878 -2.661
Ti -0.859 -4.044 -5.382
Ti -3.843 -3.123 -2.721
Ti -5.155 -2.289 -5.442
Fe -1.153 -2.969 -2.933
Fe -3.550 -4.198 -5.171
Fe -4.127 -0.505 -3.691
Fe -0.576 -6.662 -4.412
Ge -0.164 -1.767 -7.155
Ge 0.817 -2.277 -4.043
Ge -5.520 -4.890 -4.061
Ge -4.538 -5.400 -0.949
Ge -2.502 -2.026 -4.760
Ge -2.138 -1.930 -0.920
Ge -2.565 -5.237 -7.183
Ge -2.201 -5.141 -3.343
```

(4)
A relaxed structure of CaSi2Se, computed with PBE.

Its formation energy (no corrections) is -2.48 eV per formula unit. Its spin magnetization is 0.00 μB/f.u. As for the space-group type: Cm (8). Its density of states at the Fermi level is 0.261 states/eV per atom.

```
16
Lattice="-4.544 -0.359 10.711 3.535 -2.502 1.416 4.108 5.817 0.021" Properties=species:S:1:pos:R:3 pbc="T T T"
Ca -0.678 0.862 3.215
Ca 3.144 2.519 3.933
Ca -1.541 3.879 10.701
Ca -1.827 -0.281 11.399
Si 0.404 4.625 7.164
Si 0.118 0.466 7.861
Si -1.546 1.433 6.393
Si 2.276 3.090 7.111
Si 0.033 3.035 5.280
Si -0.253 -1.125 5.978
Si 1.616 5.188 5.133
Si 1.329 1.028 5.830
Se -3.815 -0.159 9.244
Se 0.007 1.499 9.963
Se 1.160 2.557 1.623
Se 4.982 4.215 2.341
```

(5)
A relaxed structure of DyGa2Fe, computed with PBE.

Its spin magnetization is 0.00 μB/f.u. As for the space-group type: R-3m (166). Its density of states at the Fermi level is 0.665 states/eV per atom. The value obtained for the formation enthalpy at 0 K is -0.3271 eV per atom.

```
4
Lattice="4.091 0.000 0.000 2.046 3.543 0.000 2.046 1.181 4.996" Properties=species:S:1:pos:R:3 pbc="T T T"
Fe 0.000 0.000 0.000
Ga 6.137 3.543 4.320
Ga 2.046 1.181 0.676
Dy 4.091 2.362 2.498
```

(6)
A relaxed structure of TaAlO4, computed with PBE.

Its formation energy (no corrections) is -17.63 eV per formula unit. Its spin magnetization is 0.00 μB/f.u. As for the space-group type: C2/m (12). Its density of states at the Fermi level is 0.000 states/eV per atom.

```
12
Lattice="6.423 0.000 0.002 5.291 3.641 0.002 1.892 0.588 6.208" Properties=species:S:1:pos:R:3 pbc="T T T"
Ta 10.918 3.393 1.450
Ta 2.688 0.835 4.762
Al 10.916 3.393 5.095
Al 2.690 0.836 1.117
O 4.581 1.424 1.265
O 9.024 2.805 4.947
O 12.677 3.940 5.369
O 0.929 0.289 0.843
O 2.549 0.792 2.945
O 11.057 3.436 3.267
O 4.693 1.459 5.327
O 8.912 2.770 0.884
```

(7)
A relaxed structure of Sr2PbW, computed with PBE.

Its spin magnetization is 1.51 μB/f.u. As for the space-group type: C2/m (12). Its density of states at the Fermi level is 0.904 states/eV per atom. The value obtained for the formation enthalpy at 0 K is 0.9314 eV per atom.

```
4
Lattice="5.516 0.013 -0.005 4.567 3.094 -0.005 0.728 0.224 7.038" Properties=species:S:1:pos:R:3 pbc="T T T"
Pb 2.703 0.833 1.757
Sr 0.731 0.225 6.953
Sr 5.403 1.665 3.600
W 8.109 2.499 5.272
```

(8)
A relaxed structure of CoTc2Ru, computed with PBE.

The energy above the most stable polymorph in this dataset is 0.339 eV/atom. Its spin magnetization is 1.54 μB/f.u. As for the space-group type: F-43m (216). Its density of states at the Fermi level is 1.610 states/eV per atom. The value obtained for the formation enthalpy at 0 K is 0.3038 eV per atom.

```
4
Lattice="4.270 0.000 0.000 2.135 3.698 0.000 2.135 1.233 3.486" Properties=species:S:1:pos:R:3 pbc="T T T"
Co 6.404 3.698 2.615
Tc 0.000 0.000 0.000
Tc 2.135 1.233 0.871
Ru 4.270 2.465 1.743
```